BaNaSrCd, optimized geometry, DFT GGA-PBE; ΔE_f = -0.176 eV per atom
1.0
4.201 0.000 0.000
0.000 4.201 0.000
0.000 0.000 9.447
Ba Na Sr Cd
1 1 1 1
Direct
0.500 0.500 0.359
0.000 0.000 0.058
0.500 0.500 0.784
0.000 0.000 0.584

ZrAl4Si2, optimized geometry, DFT GGA-PBE; energy above the most stable polymorph in this dataset = 24.0 kJ/mol of atoms; formation energy from raw total energies = 0.106 eV per atom
1.0
-2.621 3.444 -0.425
2.030 -1.630 -3.483
-6.614 -5.209 -1.418
Zr Al Si
1 4 2
Direct
0.000 0.000 0.500
0.333 0.667 0.710
0.667 0.333 0.290
0.333 0.667 0.324
0.667 0.333 0.676
0.333 0.667 0.023
0.667 0.333 0.977

no.,volume (Å³ per cell),calculated total energy (eV per atom)
1,166.7,-1.6361
2,139.8,-4.8030